DFT (SCAN) results for Fe3SnPd at its PBEsol-relaxed geometry.

Cell and atoms, written as POSCAR:
```
Fe3SnPd
1.0
4.5641 0.0000 0.0000
0.0000 4.5641 0.0000
0.0000 0.0000 4.5641
Fe Sn Pd
3 1 1
Direct
0.0000 0.0000 0.5000
0.0000 0.5000 0.0000
0.5000 0.0000 0.0000
0.5000 0.5000 0.5000
0.0000 0.0000 0.0000
```

Properties
- ΔE_f (eV/atom) = 0.898

=====

DFT (SCAN) results for Sc2AlAg at its PBEsol-relaxed geometry.

Cell and atoms, written as POSCAR:
```
Sc2AlAg
1.0
3.2725 0.0000 0.0000
0.0000 3.2725 0.0000
0.0000 0.0000 7.1354
Sc Al Ag
2 1 1
Direct
0.0000 0.0000 0.2483
0.0000 0.0000 0.7517
0.5000 0.5000 0.5000
0.5000 0.5000 0.0000
```

Properties
- ΔE_f (eV/atom) = -0.410

=====

DFT (SCAN) results for LaBeSe2 at its PBEsol-relaxed geometry.

Cell and atoms, written as POSCAR:
```
LaBeSe2
1.0
3.7759 0.0000 0.0000
-1.8880 3.2701 0.0000
0.0000 0.0000 20.1926
La Be Se
3 3 6
Direct
0.0000 0.0000 0.0000
0.3333 0.6667 0.6667
0.6667 0.3333 0.3333
0.0000 0.0000 0.1671
0.3333 0.6667 0.8337
0.6667 0.3333 0.5004
0.0000 0.0000 0.5600
0.0000 0.0000 0.7678
0.3333 0.6667 0.2267
0.3333 0.6667 0.4345
0.6667 0.3333 0.1011
0.6667 0.3333 0.8934
```

Properties
- total DFT energy (no corrections) (eV/atom) = -23.031

=====

DFT (SCAN) results for LiGe2HCl at its PBEsol-relaxed geometry.

Cell and atoms, written as POSCAR:
```
LiGe2HCl
1.0
4.8562 0.0000 0.0000
0.0000 4.8562 0.0000
0.0000 0.0000 3.2932
Li Ge H Cl
1 2 1 1
Direct
0.0000 0.0000 0.0000
0.0000 0.5000 0.0000
0.5000 0.0000 0.0000
0.0000 0.0000 0.5000
0.5000 0.5000 0.5000
```

Properties
- total DFT energy (no corrections) (eV/atom) = -9.976